## Li2CaMgAu (PBE)

Data for a relaxed Li2CaMgAu crystal.

Lattice parameters (Å, degrees): 4.9757 4.9757 5.1548 90.00 90.00 90.00
Space group P4/mmm (No. 123)
Symmetry-distinct sites (fractional):
Li 0.0000 0.5000 0.0000 x2
Ca 0.0000 0.0000 0.5000 x1
Mg 0.5000 0.5000 0.5000 x1
Au 0.5000 0.5000 0.0000 x1

**Calculated total energy**: -11.7 eV per cell
**ρ**: 3581 kg/m3

***

## TlCuOsF2 (PBE)

Data for a relaxed TlCuOsF2 crystal.

Lattice parameters (Å, degrees): 3.9901 3.9901 5.7161 90.00 90.00 90.00
Space group P4/mmm (No. 123)
Symmetry-distinct sites (fractional):
Tl 0.0000 0.0000 0.0000 x1
Cu 0.5000 0.5000 0.0000 x1
Os 0.0000 0.0000 0.5000 x1
F 0.0000 0.5000 0.5000 x2

**ΔE_f (raw)**: -0.4 eV/f.u.
**ρ**: 9053 kg/m3

***

## PaSiHOs2 (PBE)

Data for a relaxed PaSiHOs2 crystal.

Lattice parameters (Å, degrees): 4.1498 11.1842 6.3304 90.00 90.00 90.00
Space group Cmcm (No. 63)
Symmetry-distinct sites (fractional):
Pa 0.0000 0.0830 0.2500 x4
Si 0.0000 0.1872 0.7500 x4
H 0.0000 0.5000 0.0000 x4
Os 0.0000 0.3391 0.0335 x8

**Calculated total energy**: -169.2 eV per cell
**ρ**: 14482 kg/m3

***

## PaTl2O6 (PBE)

Data for a relaxed PaTl2O6 crystal.

Lattice parameters (Å, degrees): 5.6886 5.6886 4.8247 90.00 90.00 120.00
Space group P-31m (No. 162)
Symmetry-distinct sites (fractional):
Pa 0.0000 0.0000 0.0000 x1
Tl 0.3333 0.6667 0.5000 x2
O 0.0000 0.3193 0.7496 x6

**ΔE_f (raw)**: -14.2 eV/f.u.
**ρ**: 9036 kg/m3

***

## Er3InNi (PBE)

Data for a relaxed Er3InNi crystal.

Lattice parameters (Å, degrees): 5.1415 5.1415 5.1415 90.00 90.00 90.00
Space group Pm-3m (No. 221)
Symmetry-distinct sites (fractional):
Er 0.0000 0.0000 0.5000 x3
In 0.5000 0.5000 0.5000 x1
Ni 0.0000 0.0000 0.0000 x1

**Excess energy over the best structure of this formula in the dataset**: 97 meV/atom
**ρ**: 8250 kg/m3

***

## Mg2BW2 (PBE)

Data for a relaxed Mg2BW2 crystal.

Lattice parameters (Å, degrees): 5.8333 5.8333 4.8127 90.00 90.00 90.00
Space group P4/mbm (No. 127)
Symmetry-distinct sites (fractional):
Mg 0.1627 0.3373 0.0000 x4
B 0.0000 0.0000 0.5000 x2
W 0.1606 0.6606 0.5000 x4

**Excess energy over the best structure of this formula in the dataset**: 0 meV/atom
**ρ**: 8661 kg/m3

***

## RbCuMo (PBE)

Data for a relaxed RbCuMo crystal.

Lattice parameters (Å, degrees): 4.9276 5.5927 8.3182 107.02 90.43 115.75
Space group P1 (No. 1)
Symmetry-distinct sites (fractional):
Rb 0.0000 0.0000 0.0000 x1
Rb 0.2025 0.3856 0.6648 x1
Cu 0.4955 0.9665 0.5798 x1
Cu 0.5849 0.1555 0.3321 x1
Mo 0.0566 0.6645 0.3225 x1
Mo 0.6230 0.6601 0.3215 x1

**Excess energy over the best structure of this formula in the dataset**: 492 meV/atom
**ρ**: 4172 kg/m3

***

## CaPmZn10 (PBE)

Data for a relaxed CaPmZn10 crystal.

Lattice parameters (Å, degrees): 4.2590 5.3682 9.3023 90.00 90.00 90.00
Space group Pmmm (No. 47)
Symmetry-distinct sites (fractional):
Ca 0.0000 0.0000 0.0000 x1
Pm 0.0000 0.5000 0.5000 x1
Zn 0.0000 0.0000 0.3286 x2
Zn 0.0000 0.5000 0.1629 x2
Zn 0.5000 0.0000 0.5000 x1
Zn 0.5000 0.2542 0.2559 x4
Zn 0.5000 0.5000 0.0000 x1

**Calculated total energy**: -22.6 eV per cell
**ρ**: 6552 kg/m3

***

## TaTl2Cl4F2 (PBE)

Data for a relaxed TaTl2Cl4F2 crystal.

Lattice parameters (Å, degrees): 11.3864 7.3378 5.7231 90.00 98.80 90.00
Space group C2/m (No. 12)
Symmetry-distinct sites (fractional):
Ta 0.0000 0.0000 0.0000 x2
Tl 0.1672 0.5000 0.2807 x4
Cl 0.1010 0.2412 0.8075 x8
F 0.1295 0.0000 0.2590 x4

**ΔE_f (raw)**: -15.1 eV/f.u.
**ρ**: 5408 kg/m3

***

## Tb3Sm4Tm5 (PBE)

Data for a relaxed Tb3Sm4Tm5 crystal.

Lattice parameters (Å, degrees): 15.9566 5.8905 9.2967 90.00 116.53 90.00
Space group C2/m (No. 12)
Symmetry-distinct sites (fractional):
Tb 0.0000 0.0000 0.0000 x2
Tb 0.2118 0.5000 0.2371 x4
Sm 0.0839 0.5000 0.4452 x4
Sm 0.2139 0.5000 0.8823 x4
Tm 0.0000 0.5000 0.0000 x2
Tm 0.0708 0.0000 0.7001 x4
Tm 0.1712 0.0000 0.3838 x4

**Excess energy over the best structure of this formula in the dataset**: 217 meV/atom
**ρ**: 8169 kg/m3

***

## Sr3EuGa (PBE)

Data for a relaxed Sr3EuGa crystal.

Lattice parameters (Å, degrees): 6.2726 6.2726 6.2726 90.00 90.00 90.00
Space group Pm-3m (No. 221)
Symmetry-distinct sites (fractional):
Sr 0.0000 0.0000 0.5000 x3
Eu 0.5000 0.5000 0.5000 x1
Ga 0.0000 0.0000 0.0000 x1

**Calculated total energy**: -18.5 eV per cell
**ρ**: 3260 kg/m3

***

## LaTi2Ni2 (PBE)

Data for a relaxed LaTi2Ni2 crystal.

Lattice parameters (Å, degrees): 4.4282 4.4282 9.8883 90.00 90.00 90.00
Space group I4/mmm (No. 139)
Symmetry-distinct sites (fractional):
La 0.0000 0.0000 0.0000 x2
Ti 0.0000 0.0000 0.3478 x4
Ni 0.0000 0.5000 0.2500 x4

**Excess energy over the best structure of this formula in the dataset**: 184 meV/atom
**ρ**: 6029 kg/m3